# 1
Entry from Alexandria: a relaxed ZrIrRh3 crystal (PBE-GGA).

Cell: 4.5907 4.5907 4.5907 Å, 97.11 97.11 97.11°
Positions (direct):
1 Rh 0.1028 0.4912 0.1028
2 Ir 0.5244 0.5244 0.5244
3 Zr 0.8909 0.8909 0.8909
4 Rh 0.1028 0.1028 0.4912
5 Rh 0.4912 0.1028 0.1028

Computed properties:
Theoretical density (g/cm3): 10.43
Total magnetization (μB per cell): 0.00
Energy relative to the lowest polymorph listed for this composition (meV per atom): 986

# 2
Entry from Alexandria: a relaxed Zr3IrRh crystal (PBE-GGA).

Cell: 4.9970 4.9970 4.9970 Å, 90.00 90.00 90.00°
Positions (direct):
1 Zr 0.5000 0.0000 0.0000
2 Ir 0.0000 0.0000 0.0000
3 Rh 0.5000 0.5000 0.5000
4 Zr 0.0000 0.0000 0.5000
5 Zr 0.0000 0.5000 0.0000

Computed properties:
Theoretical density (g/cm3): 7.57
Total magnetization (μB per cell): 0.00
Energy relative to the lowest polymorph listed for this composition (meV per atom): 0

# 3
Entry from Alexandria: a relaxed ZrIrRh3 crystal (PBE-GGA).

Cell: 4.6971 4.6971 4.6971 Å, 90.00 90.00 90.00°
Each line ends with the local moment (μB).
Positions (direct):
1 Ir 0.5000 0.5000 0.5000  1.22
2 Zr 0.0000 0.0000 0.0000  -0.06
3 Rh 0.0000 0.0000 0.5000  0.18
4 Rh 0.0000 0.5000 0.0000  0.28
5 Rh 0.5000 0.0000 0.0000  0.51

Computed properties:
Theoretical density (g/cm3): 9.49
Total magnetization (μB per cell): 2.13
Energy relative to the lowest polymorph listed for this composition (meV per atom): 1801

# 4
Entry from Alexandria: a relaxed ZrIrRh3 crystal (PBE-GGA).

Cell: 4.6977 4.6977 4.6977 Å, 90.00 90.00 90.00°
Positions (direct):
1 Ir 0.0000 0.0000 0.0000
2 Rh 0.0000 0.5000 0.0000
3 Rh 0.0000 0.0000 0.5000
4 Rh 0.5000 0.0000 0.0000
5 Zr 0.5000 0.5000 0.5000

Computed properties:
Theoretical density (g/cm3): 9.48
Total magnetization (μB per cell): 0.00
Energy relative to the lowest polymorph listed for this composition (meV per atom): 1345

# 5
Entry from Alexandria: a relaxed Zr4IrRh crystal (PBE-GGA).

Cell: 5.5083 5.5083 5.5083 Å, 60.00 60.00 60.00°
Positions (direct):
1 Zr 0.8740 0.3753 0.3753
2 Zr 0.3753 0.8740 0.3753
3 Rh 0.0000 0.0000 0.0000
4 Zr 0.3753 0.3753 0.3753
5 Zr 0.3753 0.3753 0.8740
6 Ir 0.7500 0.7500 0.7500

Computed properties:
Theoretical density (g/cm3): 9.27
Total magnetization (μB per cell): 0.00
Energy relative to the lowest polymorph listed for this composition (meV per atom): 947

# 6
Entry from Alexandria: a relaxed ZrIrRh crystal (PBE-GGA).

Cell: 4.4919 4.4919 2.8733 Å, 90.00 90.00 120.00°
Positions (direct):
1 Ir 0.0000 0.0000 0.9723
2 Zr 0.3333 0.6667 0.5769
3 Rh 0.6667 0.3333 0.4508

Computed properties:
Theoretical density (g/cm3): 12.78
Total magnetization (μB per cell): 0.00
Energy relative to the lowest polymorph listed for this composition (meV per atom): 333

# 7
Entry from Alexandria: a relaxed ZrIrRh4 crystal (PBE-GGA).

Cell: 5.1217 5.1217 5.1217 Å, 60.00 60.00 60.00°
Positions (direct):
1 Rh 0.3740 0.8781 0.3740
2 Ir 0.0000 0.0000 0.0000
3 Rh 0.3740 0.3740 0.3740
4 Rh 0.8781 0.3740 0.3740
5 Rh 0.3740 0.3740 0.8781
6 Zr 0.7500 0.7500 0.7500

Computed properties:
Theoretical density (g/cm3): 12.15
Total magnetization (μB per cell): 0.00

# 8
Entry from Alexandria: a relaxed ZrIrRh crystal (PBE-GGA).

Cell: 4.3551 4.3551 4.3551 Å, 60.00 60.00 60.00°
Positions (direct):
1 Rh 0.7500 0.7500 0.7500
2 Ir 0.5000 0.5000 0.5000
3 Zr 0.0000 0.0000 0.0000

Computed properties:
Theoretical density (g/cm3): 10.98
Total magnetization (μB per cell): 0.02
Energy relative to the lowest polymorph listed for this composition (meV per atom): 623

# 9
Entry from Alexandria: a relaxed Zr3IrRh5 crystal (PBE-GGA).

Cell: 5.5828 7.8378 7.8376 Å, 120.00 90.00 90.00°
Positions (direct):
1 Rh 0.7500 0.0000 0.3304
2 Zr 0.7500 0.3338 0.3339
3 Zr 0.7500 0.0000 0.6661
4 Zr 0.2500 0.6662 0.6661
5 Ir 0.0000 0.0000 0.0000
6 Rh 0.7500 0.3304 0.0000
7 Rh 0.2500 0.6696 0.0000
8 Rh 0.5000 0.6667 0.3333
9 Rh 0.7500 0.6696 0.6696
10 Zr 0.7500 0.6661 0.0000
11 Ir 0.5000 0.0000 0.0000
12 Zr 0.2500 0.3339 0.0000
13 Rh 0.2500 0.0000 0.6696
14 Rh 0.0000 0.6667 0.3333
15 Rh 0.5000 0.3333 0.6667
16 Zr 0.2500 0.0000 0.3339
17 Rh 0.0000 0.3333 0.6667
18 Rh 0.2500 0.3304 0.3304

Computed properties:
Theoretical density (g/cm3): 10.96
Total magnetization (μB per cell): 0.00

# 10
Entry from Alexandria: a relaxed Zr5IrRh2 crystal (PBE-GGA).

Cell: 4.4195 6.6102 11.1271 Å, 90.00 90.00 90.00°
Positions (direct):
1 Rh 0.5000 0.0564 0.3391
2 Ir 0.0000 0.5000 0.5000
3 Rh 0.5000 0.5564 0.1609
4 Rh 0.5000 0.4436 0.8391
5 Zr 0.0000 0.3421 0.2831
6 Zr 0.0000 0.8421 0.2169
7 Zr 0.0000 0.5000 0.0000
8 Zr 0.5000 0.6745 0.4051
9 Rh 0.5000 0.9436 0.6609
10 Zr 0.5000 0.1745 0.0949
11 Zr 0.5000 0.8255 0.9051
12 Zr 0.0000 0.6579 0.7169
13 Ir 0.0000 0.0000 0.0000
14 Zr 0.5000 0.3255 0.5949
15 Zr 0.0000 0.1579 0.7831
16 Zr 0.0000 0.0000 0.5000

Computed properties:
Theoretical density (g/cm3): 8.73
Total magnetization (μB per cell): 0.00

# 11
Entry from Alexandria: a relaxed Zr4IrRh7 crystal (PBE-GGA).

Cell: 4.8527 7.0809 8.0195 Å, 75.83 52.87 90.27°
Positions (direct):
1 Zr 0.8210 0.6720 0.9297
2 Zr 0.1790 0.3280 0.0703
3 Rh 0.5583 0.6292 0.6941
4 Ir 0.0000 0.0000 0.0000
5 Zr 0.6608 0.2740 0.5890
6 Rh 0.1383 0.0132 0.6134
7 Rh 0.8617 0.9868 0.3866
8 Rh 0.0421 0.6445 0.2074
9 Rh 0.9579 0.3555 0.7926
10 Rh 0.5000 0.0000 0.0000
11 Zr 0.3392 0.7260 0.4110
12 Rh 0.4417 0.3708 0.3059

Computed properties:
Theoretical density (g/cm3): 10.16
Total magnetization (μB per cell): 0.00

# 12
Entry from Alexandria: a relaxed ZrIrRh crystal (PBE-GGA).

Cell: 6.2732 6.2729 2.9042 Å, 76.62 76.61 26.77°
Positions (direct):
1 Ir 0.9966 0.9966 0.0034
2 Zr 0.6656 0.6656 0.3344
3 Rh 0.3377 0.3377 0.6623

Computed properties:
Theoretical density (g/cm3): 12.83
Total magnetization (μB per cell): 0.00
Energy relative to the lowest polymorph listed for this composition (meV per atom): 372

Calculated formation energy, record by record: 0.601; 0.366; 1.415; 0.960; 0.340; -0.375; -0.133; -0.084; -0.717; -0.552; -0.489; -0.336 eV per atom
Uncorrected energy, record by record: -7.29; -8.01; -6.48; -6.93; -8.06; -8.63; -7.94; -8.34; -8.64; -8.84; -8.37; -8.59 eV/atom